[1]
# LiErSn2Pd4

A geometry-optimized LiErSn2Pd4 structure (PBE-GGA, Alexandria via LeMat-Bulk).

Lattice parameters (Å, degrees): 8.098 8.098 8.098 33.29 33.29 33.29
Positions (direct):
Li1 0.000 0.000 0.000
Er1 0.500 0.500 0.500
Sn1 0.254 0.254 0.254
Sn2 0.746 0.746 0.746
Pd1 0.118 0.118 0.118
Pd2 0.374 0.374 0.374
Pd3 0.626 0.626 0.626
Pd4 0.882 0.882 0.882

Calculated values
**ΔE_f**: -0.7457 eV per atom

[2]
# La2GaPdPb

A geometry-optimized La2GaPdPb structure (PBE-GGA, Alexandria via LeMat-Bulk).

Lattice parameters (Å, degrees): 6.070 6.070 5.038 90.00 90.00 90.00
Positions (direct):
La1 0.000 0.500 0.000
La2 0.500 0.000 0.000
Ga1 0.000 0.000 0.500
Pd1 0.500 0.500 0.500
Pb1 0.500 0.500 0.000

Calculated values
**ΔE_f**: 0.2490 eV per atom

[3]
# Rb2CaHg3F12

A geometry-optimized Rb2CaHg3F12 structure (PBE-GGA, Alexandria via LeMat-Bulk).

Lattice parameters (Å, degrees): 8.141 8.141 8.141 61.72 61.72 61.72
Positions (direct):
Rb1 0.177 0.177 0.177
Rb2 0.823 0.823 0.823
Ca1 0.500 0.500 0.500
Hg1 0.000 0.500 0.500
Hg2 0.500 0.000 0.500
Hg3 0.500 0.500 0.000
F1 0.171 0.579 0.579
F2 0.179 0.179 0.549
F3 0.179 0.549 0.179
F4 0.421 0.421 0.829
F5 0.421 0.829 0.421
F6 0.451 0.821 0.821
F7 0.549 0.179 0.179
F8 0.579 0.171 0.579
F9 0.579 0.579 0.171
F10 0.821 0.451 0.821
F11 0.821 0.821 0.451
F12 0.829 0.421 0.421

Calculated values
**Formation energy from raw total energies**: -2.009 eV per atom

[4]
# BePt2

A geometry-optimized BePt2 structure (PBE-GGA, Alexandria via LeMat-Bulk).

Lattice parameters (Å, degrees): 6.105 6.105 3.703 90.00 90.00 120.00
Positions (direct):
Be1 0.000 0.000 0.000
Be2 0.333 0.667 0.500
Be3 0.667 0.333 0.500
Pt1 0.000 0.263 0.500
Pt2 0.000 0.600 0.000
Pt3 0.263 0.000 0.500
Pt4 0.400 0.400 0.000
Pt5 0.600 0.000 0.000
Pt6 0.737 0.737 0.500

Calculated values
**ΔE_f**: -0.4622 eV per atom

[5]
# BaNdCdHg

A geometry-optimized BaNdCdHg structure (PBE-GGA, Alexandria via LeMat-Bulk).

Lattice parameters (Å, degrees): 5.699 5.699 5.699 60.00 60.00 60.00
Positions (direct):
Ba1 0.000 0.000 0.000
Nd1 0.500 0.500 0.500
Cd1 0.250 0.250 0.250
Hg1 0.750 0.750 0.750

Calculated values
**ΔE_f**: -0.3150 eV per atom

[6]
# In3Ir

A geometry-optimized In3Ir structure (PBE-GGA, Alexandria via LeMat-Bulk).

Lattice parameters (Å, degrees): 9.662 9.662 9.662 19.57 19.57 19.57
Positions (direct):
In1 0.000 0.000 0.000
In2 0.237 0.237 0.237
In3 0.763 0.763 0.763
Ir1 0.500 0.500 0.500

Calculated values
**ΔE_f**: 0.1122 eV per atom

[7]
# MnTc2Te

A geometry-optimized MnTc2Te structure (PBE-GGA, Alexandria via LeMat-Bulk).

Lattice parameters (Å, degrees): 5.172 5.172 5.172 143.35 130.17 63.42
Positions (direct):
Mn1 0.000 0.000 0.000
Tc1 0.246 0.746 0.500
Tc2 0.513 0.513 0.000
Te1 0.760 0.260 0.500

Calculated values
**Formation energy from raw total energies**: 0.331 eV per atom

[8]
# NaBiI3

A geometry-optimized NaBiI3 structure (PBE-GGA, Alexandria via LeMat-Bulk).

Lattice parameters (Å, degrees): 10.617 10.617 4.197 100.97 100.97 77.27
Positions (direct):
Na1 0.000 0.000 0.000
Na2 0.677 0.677 0.697
Bi1 0.160 0.517 0.349
Bi2 0.517 0.160 0.349
I1 0.154 0.808 0.483
I2 0.207 0.207 0.232
I3 0.470 0.470 0.466
I4 0.523 0.869 0.215
I5 0.808 0.154 0.483
I6 0.869 0.523 0.215

Calculated values
**Energy relative to the lowest polymorph listed for this composition**: 0.000 eV per atom
**Formation energy from raw total energies**: -0.616 eV per atom

| no. | total magnetic moment (μB per formula unit) | calculated volume (Å³/atom) |
| --- | --- | --- |
| 1 | 0.00 | 17.8 |
| 2 | 0.00 | 37.1 |
| 3 | 1.84 | 22.0 |
| 4 | 0.00 | 13.3 |
| 5 | 0.00 | 32.7 |
| 6 | 0.00 | 22.1 |
| 7 | 2.68 | 15.6 |
| 8 | 0.00 | 44.8 |